Crystalline FeSn2Mo at its relaxed geometry. Source: Alexandria, functional PBE.

Cell: 3.1352 3.1352 9.8332 Å, 80.83 80.83 60.00°
Last column: nearest neighbours and their distance in Å.
Fractional positions:
Mo1 0.5000 0.5000 0.5000  6 Sn 2.85, 6 Mo 3.14
Sn1 0.0907 0.0907 0.7280  1 Fe 2.63, 3 Mo 2.85
Sn2 0.9093 0.9093 0.2720  1 Fe 2.63, 3 Mo 2.85
Fe1 0.0000 0.0000 0.0000  2 Sn 2.63

Properties
- formation enthalpy at 0 K (eV/atom) = 0.605
- raw total energy (Ry per atom) = -0.4572
- total magnetic moment (μB per formula unit) = 3.05
- volume (A^3/atom) = 20.6